[1]
## K3Pa3SnSe8 (GGA-PBE)

Data for K3Pa3SnSe8 after structural relaxation.

* uncorrected formation energy: -1240 meV per atom
* total magnetization: 12.02 μB per cell

```
data_K3Pa3SnSe8
_chemical_formula_sum 'K9 Pa9 Sn3 Se24'
_symmetry_space_group_name_H-M 'R -3 m'
_symmetry_Int_Tables_number 166
_symmetry_space_group_name_Hall '-R 3 2"'
_cell_length_a 8.4967
_cell_length_b 8.4967
_cell_length_c 23.1813
_cell_angle_alpha 90.00
_cell_angle_beta 90.00
_cell_angle_gamma 120.00
loop_
_atom_site_label
_atom_site_fract_x
_atom_site_fract_y
_atom_site_fract_z
K1 0.0000 0.5000 0.0000
Pa1 0.0000 0.5000 0.5000
Sn1 0.0000 0.0000 0.5000
Se1 0.0000 0.0000 0.2361
Se2 0.0142 0.5071 0.7650
```


[2]
## Pm4In2Pt (GGA-PBE)

Data for Pm4In2Pt after structural relaxation.

* E_form: -354 meV per atom
* offset from the most stable computed form: 127 meV/atom
* total magnetization: 0.00 μB per cell

```
data_Pm4In2Pt
_chemical_formula_sum 'Pm8 In4 Pt2'
_symmetry_space_group_name_H-M 'I 4/m m m'
_symmetry_Int_Tables_number 139
_symmetry_space_group_name_Hall '-I 4 2'
_cell_length_a 5.476
_cell_length_b 5.476
_cell_length_c 15.803
_cell_angle_alpha 90.00
_cell_angle_beta 90.00
_cell_angle_gamma 90.00
loop_
_atom_site_label
_atom_site_fract_x
_atom_site_fract_y
_atom_site_fract_z
Pm1 0.000 0.000 0.183
Pm2 0.000 0.500 0.000
In1 0.000 0.000 0.379
Pt1 0.000 0.000 0.000
```


[3]
## PrAl2GaCu2 (GGA-PBE)

Data for PrAl2GaCu2 after structural relaxation.

* E_form: -117 meV per atom
* total magnetization: 0.00 μB per cell

```
data_PrAl2GaCu2
_chemical_formula_sum 'Pr1 Al2 Ga1 Cu2'
_symmetry_space_group_name_H-M 'P 4/m m m'
_symmetry_Int_Tables_number 123
_symmetry_space_group_name_Hall '-P 4 2'
_cell_length_a 4.500
_cell_length_b 4.500
_cell_length_c 5.700
_cell_angle_alpha 90.00
_cell_angle_beta 90.00
_cell_angle_gamma 90.00
loop_
_atom_site_label
_atom_site_fract_x
_atom_site_fract_y
_atom_site_fract_z
Pr1 0.000 0.000 0.000
Al1 0.500 0.500 0.238
Ga1 0.000 0.000 0.500
Cu1 0.000 0.500 0.500
```


Question: Number 2 is which compound?
Answer: Pm4In2Pt